# BeGa2Br (PBE, optimized geometry)
data_BeGa2Br
_chemical_formula_sum 'Be1 Ga2 Br1'
_cell_length_a 4.929
_cell_length_b 4.929
_cell_length_c 4.929
_cell_angle_alpha 60.00
_cell_angle_beta 60.00
_cell_angle_gamma 60.00
_space_group_name_H-M_alt 'P 1'
_space_group_IT_number 1
loop_
_space_group_symop_operation_xyz
'x,y,z'
loop_
_atom_site_label
_atom_site_fract_x
_atom_site_fract_y
_atom_site_fract_z
Be1 0.000 0.000 0.000
Ga1 0.250 0.250 0.250
Ga2 0.750 0.750 0.750
Br1 0.500 0.500 0.500
# Energy above the lowest structure with this stoichiometry   381 meV per atom
# Symmetry   No. 225